(1)
## HfZnNiRu2 (SCAN)

Data for a crystal of HfZnNiRu2 relaxed with PBEsol.

abc: 4.6683 4.6683 4.4605
angles: 90.00 90.00 90.00
With the nearest neighbours (Å) after each atom.
Space group P4/mmm (No. 123)
Inequivalent atoms, fractional coordinates:
Hf 0.0000 0.0000 0.0000 [1 per cell]  2 Ni 2.23, 4 Ru 2.33
Zn 0.5000 0.5000 0.5000 [1 per cell]  8 Ru 3.23, 4 Ni 3.30
Ni 0.0000 0.0000 0.5000 [1 per cell]  2 Hf 2.23
Ru 0.0000 0.5000 0.0000 [2 per cell]  2 Hf 2.33

Summary:
Raw total energy: -154.929 eV for the cell shown
Calculated formation energy: 1.42 eV/atom



(2)
## Hf2NiS2 (SCAN)

Data for a crystal of Hf2NiS2 relaxed with PBEsol.

abc: 4.0119 4.0119 11.7973
angles: 90.00 90.00 90.00
With the nearest neighbours (Å) after each atom.
Space group I4/mmm (No. 139)
Inequivalent atoms, fractional coordinates:
Hf 0.0000 0.0000 0.1237 [4 per cell]  4 S 2.50
Ni 0.0000 0.0000 0.5000 [2 per cell]  8 Hf 3.19, 8 S 3.57
S 0.0000 0.5000 0.2500 [4 per cell]  4 Hf 2.50

Summary:
Raw total energy: -325.400 eV for the cell shown
Energy relative to the elements, uncorrected: -0.385 eV per atom



(3)
## HfZr2NiS (SCAN)

Data for a crystal of HfZr2NiS relaxed with PBEsol.

abc: 4.7920 4.7920 4.6893
angles: 90.00 90.00 90.00
With the nearest neighbours (Å) after each atom.
Space group P4/mmm (No. 123)
Inequivalent atoms, fractional coordinates:
Hf 0.0000 0.0000 0.0000 [1 per cell]  2 Ni 2.34
Zr 0.0000 0.5000 0.5000 [2 per cell]  2 Ni 2.40
Ni 0.0000 0.0000 0.5000 [1 per cell]  2 Hf 2.34, 4 Zr 2.40
S 0.5000 0.5000 0.0000 [1 per cell]  8 Zr 3.35, 4 Hf 3.39

Summary:
Raw total energy: -149.058 eV for the cell shown
Energy relative to the elements, uncorrected: 0.163 eV per atom



(4)
## HfNiSb (SCAN)

Data for a crystal of HfNiSb relaxed with PBEsol.

abc: 6.0296 6.0296 6.0296
angles: 90.00 90.00 90.00
With the nearest neighbours (Å) after each atom.
Space group F-43m (No. 216)
Inequivalent atoms, fractional coordinates:
Hf 0.0000 0.0000 0.0000 [4 per cell]  4 Ni 2.61
Ni 0.2500 0.2500 0.2500 [4 per cell]  4 Hf 2.61, 4 Sb 2.61
Sb 0.0000 0.0000 0.5000 [4 per cell]  4 Ni 2.61

Summary:
Raw total energy: -471.986 eV for the cell shown
Energy relative to the elements, uncorrected: -0.630 eV per atom



(5)
## Hf5NiSb3 (SCAN)

Data for a crystal of Hf5NiSb3 relaxed with PBEsol.

abc: 8.4599 8.4599 5.6547
angles: 90.00 90.00 120.00
With the nearest neighbours (Å) after each atom.
Space group P6_3/mcm (No. 193)
Inequivalent atoms, fractional coordinates:
Hf 0.0000 0.2565 0.2500 [6 per cell]  2 Ni 2.59, 2 Sb 2.90
Hf 0.3333 0.6667 0.0000 [4 per cell]  2 Hf 2.83, 6 Sb 2.97
Ni 0.0000 0.0000 0.0000 [2 per cell]  6 Hf 2.59, 2 Ni 2.83
Sb 0.0000 0.3887 0.7500 [6 per cell]  9 Hf 2.90-3.04

Summary:
Raw total energy: -893.554 eV for the cell shown
Energy relative to the elements, uncorrected: -0.606 eV per atom



(6)
## HfNiSb (SCAN)

Data for a crystal of HfNiSb relaxed with PBEsol.

abc: 6.5951 4.0839 7.5910
angles: 90.00 90.00 90.00
With the nearest neighbours (Å) after each atom.
Space group Pnma (No. 62)
Inequivalent atoms, fractional coordinates:
Hf 0.9999 0.2500 0.1901 [4 per cell]  5 Sb 2.91-2.95, 5 Ni 2.91-2.99
Ni 0.1897 0.2500 0.5917 [4 per cell]  4 Sb 2.47-2.58
Sb 0.2022 0.7500 0.4081 [4 per cell]  4 Ni 2.47-2.58

Summary:
Raw total energy: -471.280 eV for the cell shown
Energy relative to the elements, uncorrected: -0.571 eV per atom



(7)
## Hf3NiSb7 (SCAN)

Data for a crystal of Hf3NiSb7 relaxed with PBEsol.

abc: 17.2892 3.8962 14.2773
angles: 90.00 90.00 90.00
With the nearest neighbours (Å) after each atom.
Space group Pnma (No. 62)
Inequivalent atoms, fractional coordinates:
Hf 0.1073 0.2500 0.0911 [4 per cell]  8 Sb 2.92-3.12, 1 Ni 3.23
Hf 0.1299 0.2500 0.5283 [4 per cell]  8 Sb 2.92-2.98
Hf 0.1537 0.2500 0.8093 [4 per cell]  9 Sb 2.93-3.10
Ni 0.0629 0.2500 0.3106 [4 per cell]  6 Sb 2.54-2.70
Sb 0.0210 0.7500 0.2023 [4 per cell]  2 Ni 2.59
Sb 0.0375 0.7500 0.4236 [4 per cell]  2 Ni 2.57
Sb 0.0714 0.7500 0.9405 [4 per cell]  5 Hf 2.97-3.12, 2 Sb 3.24
Sb 0.0928 0.7500 0.6745 [4 per cell]  1 Ni 2.70, 4 Hf 2.93
Sb 0.2097 0.2500 0.3155 [4 per cell]  1 Ni 2.54
Sb 0.2279 0.7500 0.1463 [4 per cell]  4 Hf 2.96-3.10, 4 Sb 3.11-3.12
Sb 0.2486 0.7500 0.4790 [4 per cell]  4 Hf 2.92-2.96, 4 Sb 3.11

Summary:
Raw total energy: -1878.564 eV for the cell shown
Energy relative to the elements, uncorrected: -0.420 eV per atom



(8)
## Hf3Ni3Sb4 (SCAN)

Data for a crystal of Hf3Ni3Sb4 relaxed with PBEsol.

abc: 8.9711 8.9711 8.9711
angles: 90.00 90.00 90.00
With the nearest neighbours (Å) after each atom.
Space group I-43d (No. 220)
Inequivalent atoms, fractional coordinates:
Hf 0.0000 0.2500 0.3750 [12 per cell]  4 Ni 2.75
Ni 0.0000 0.2500 0.8750 [12 per cell]  4 Sb 2.51, 4 Hf 2.75
Sb 0.0834 0.0834 0.0834 [16 per cell]  3 Ni 2.51

Summary:
Raw total energy: -1567.687 eV for the cell shown
Energy relative to the elements, uncorrected: -0.634 eV per atom



(9)
## HfNi2Sb (SCAN)

Data for a crystal of HfNi2Sb relaxed with PBEsol.

abc: 4.1662 4.1662 8.1129
angles: 90.00 90.00 120.00
With the nearest neighbours (Å) after each atom.
Space group P6_3/mmc (No. 194)
Inequivalent atoms, fractional coordinates:
Hf 0.3333 0.6667 0.2500 [2 per cell]  8 Ni 2.71-2.81
Ni 0.3333 0.6667 0.5959 [4 per cell]  1 Ni 2.50, 3 Sb 2.53, 3 Hf 2.71
Sb 0.0000 0.0000 0.0000 [2 per cell]  6 Ni 2.53

Summary:
Raw total energy: -269.305 eV for the cell shown
Energy relative to the elements, uncorrected: -0.593 eV per atom



(10)
## Hf2ScNi2 (SCAN)

Data for a crystal of Hf2ScNi2 relaxed with PBEsol.

abc: 7.2340 7.2340 3.2019
angles: 90.00 90.00 90.00
With the nearest neighbours (Å) after each atom.
Space group P4/mbm (No. 127)
Inequivalent atoms, fractional coordinates:
Hf 0.1658 0.3342 0.0000 [4 per cell]  6 Ni 2.66-2.67
Sc 0.0000 0.0000 0.5000 [2 per cell]  4 Ni 2.86, 8 Hf 3.14, 2 Sc 3.20
Ni 0.1248 0.6248 0.5000 [4 per cell]  1 Ni 2.55, 6 Hf 2.66-2.67

Summary:
Raw total energy: -348.010 eV for the cell shown
Calculated formation energy: -0.42 eV/atom



(11)
## Hf3NiSe (SCAN)

Data for a crystal of Hf3NiSe relaxed with PBEsol.

abc: 4.7963 4.7963 4.7963
angles: 90.00 90.00 90.00
With the nearest neighbours (Å) after each atom.
Space group Pm-3m (No. 221)
Inequivalent atoms, fractional coordinates:
Hf 0.0000 0.0000 0.5000 [3 per cell]  2 Se 2.40
Ni 0.5000 0.5000 0.5000 [1 per cell]  12 Hf 3.39
Se 0.0000 0.0000 0.0000 [1 per cell]  6 Hf 2.40

Summary:
Raw total energy: -221.854 eV for the cell shown
Energy relative to the elements, uncorrected: 0.483 eV per atom



(12)
## Hf2SiNi3 (SCAN)

Data for a crystal of Hf2SiNi3 relaxed with PBEsol.

abc: 4.9247 4.9247 7.6910
angles: 90.00 90.00 120.00
With the nearest neighbours (Å) after each atom.
Space group P6_3/mmc (No. 194)
Inequivalent atoms, fractional coordinates:
Hf 0.3333 0.6667 0.0533 [4 per cell]  9 Ni 2.73-2.89, 3 Si 2.87, 4 Hf 2.96-3.03
Si 0.0000 0.0000 0.0000 [2 per cell]  6 Ni 2.40
Ni 0.1679 0.3357 0.7500 [6 per cell]  2 Si 2.40, 4 Ni 2.44-2.48

Summary:
Raw total energy: -376.107 eV for the cell shown
Energy relative to the elements, uncorrected: -0.695 eV per atom



| no. | total moment (μB/f.u.) |
| --- | --- |
| 1 | 1.78 |
| 2 | 0.28 |
| 3 | 0.00 |
| 4 | 0.00 |
| 5 | 0.00 |
| 6 | 0.00 |
| 7 | 0.00 |
| 8 | 0.00 |
| 9 | 0.00 |
| 10 | 0.00 |
| 11 | 0.00 |
| 12 | 0.00 |